Entry from the Alexandria database: a relaxed structure of CaPmSbAu (GGA-PBE).

Formation energy without anion corrections = -0.83 eV per atom
Density of states at the Fermi level = 3.43 states/eV/f.u.

Lattice parameters (Å, degrees): 5.3246 5.3246 5.3246 60.00 60.00 60.00
Positions (direct):
Sb: 0.5000 0.5000 0.5000
Ca: 0.2500 0.2500 0.2500
Au: 0.0000 0.0000 0.0000
Pm: 0.7500 0.7500 0.7500